## YZr2Se (PBE)

Data for a geometry-optimized YZr2Se structure. Values from VASP.

The structure in Quantum ESPRESSO input format:
```
&SYSTEM
  ibrav = 0, nat = 4, ntyp = 3
/
ATOMIC_SPECIES
Y 88.91 Y.upf
Zr 91.22 Zr.upf
Se 78.96 Se.upf
CELL_PARAMETERS angstrom
5.3925 -1.7427 0.0000
5.3925 1.7427 0.0000
-3.2864 0.0000 5.0150
ATOMIC_POSITIONS crystal
Y 0.0000 0.0000 0.0000
Zr 0.1952 0.1952 0.6167
Zr 0.4011 0.4011 0.4152
Se 0.7115 0.7115 0.9828
```

Calculated values
Total energy (eV/atom): -7.310
Fermi-level density of states (states/eV/cell): 3.8
Formation energy without anion corrections (meV per atom): -549.2
Calculated volume (Å³/cell): 94.3
SG: Cm



## BiSbRu2 (PBE)

Data for a geometry-optimized BiSbRu2 structure. Values from VASP.

The structure in Quantum ESPRESSO input format:
```
&SYSTEM
  ibrav = 0, nat = 8, ntyp = 3
/
ATOMIC_SPECIES
Bi 208.98 Bi.upf
Sb 121.76 Sb.upf
Ru 101.07 Ru.upf
CELL_PARAMETERS angstrom
-2.9959 2.9959 5.9850
2.9959 -2.9959 5.9850
2.9959 2.9959 -5.9850
ATOMIC_POSITIONS crystal
Bi 0.0000 0.0000 0.0000
Bi 0.7500 0.2500 0.5000
Sb 0.2500 0.7500 0.5000
Sb 0.5000 0.5000 0.0000
Ru 0.1390 0.6250 0.0140
Ru 0.3750 0.3890 0.5140
Ru 0.6110 0.1250 0.9860
Ru 0.8750 0.8610 0.4860
```

Calculated values
Total energy (eV/atom): -5.974
E above lowest polymorph (meV/atom): 336.9
Fermi-level density of states (states/eV/cell): 6.0
Formation energy without anion corrections (meV per atom): 664.4
Calculated volume (Å³/cell): 214.9
SG: I-42d